First-principles (GGA-PBEsol) data for a relaxed structure of Rb4In2S5, as listed in Alexandria via LeMat-Bulk.

extended XYZ file:
```
22
Lattice="-3.615 -5.003 -4.353 7.393 -1.672 -5.427 3.471 -9.977 2.287" Properties=species:S:1:pos:R:3 pbc="T T T"
S 5.223 -11.212 -6.853
S 8.341 -10.111 -3.828
S -1.092 -6.541 -3.665
S 2.922 -2.298 -3.430
S 0.976 -12.075 -1.955
S 2.450 -8.013 -5.193
S 4.327 -14.355 -4.063
S 4.799 -8.639 -2.301
S 2.025 -5.440 -0.641
S 6.273 -4.577 -5.539
Rb 5.960 -8.167 -5.384
Rb 3.123 -6.715 -8.110
Rb 0.048 -3.671 -3.082
Rb 3.000 -11.260 -4.404
Rb 4.248 -5.392 -3.090
Rb 7.200 -12.981 -4.412
Rb 4.126 -9.937 0.616
Rb 1.289 -8.485 -2.110
In 6.802 -9.885 -1.871
In -1.197 -11.435 -2.731
In 8.445 -5.217 -4.762
In 0.447 -6.767 -5.623
```

SG = No. 2
Calculated density = 3.6 Mg/m³
Uncorrected formation energy = -1.022 eV/atom
Calculated total energy = -3.93 eV per atom
Magnetization = 0.0 Bohr magnetons per cell